1.
First-principles (PBE-GGA) data for CaMn4Hg after structural relaxation, as listed in the Alexandria database.

The structure in POSCAR format:
```
CaMn4Hg
1.0
0.0000 3.7931 3.7931
3.7931 0.0000 3.7931
3.7931 3.7931 0.0000
Ca Mn Hg
1 4 1
Cartesian
0.0000 0.0000 0.0000 Ca
2.8401 2.8401 2.8401 Mn
4.7460 4.7460 2.8401 Mn
4.7460 2.8401 4.7460 Mn
2.8401 4.7460 4.7460 Mn
5.6896 5.6896 5.6896 Hg
```

Properties
energy relative to the elements = 0.405 eV/atom
SG = No. 216
electronic total energy = -6.092 eV per atom

***

2.
First-principles (PBE-GGA) data for YSc3 after structural relaxation, as listed in the Alexandria database.

The structure in POSCAR format:
```
YSc3
1.0
5.2749 0.0000 0.0000
0.0000 6.8147 0.0000
0.0000 0.0000 5.8891
Y Sc
2 6
Cartesian
1.3187 1.7037 0.9589 Y
3.9562 5.1110 4.9302 Y
1.3187 0.0118 3.9009 Sc
1.3187 3.3955 3.9009 Sc
1.3187 5.1110 1.0542 Sc
3.9562 1.7037 4.8349 Sc
3.9562 3.4192 1.9881 Sc
3.9562 6.8028 1.9881 Sc
```

Properties
energy relative to the elements = 0.020 eV/atom
SG = No. 59
energy relative to the lowest polymorph listed for this composition = 2.1 meV/atom
electronic total energy = -6.344 eV per atom